1.
# NaGeO2F PBE relaxed
# Total moment: 0.00 Bohr magnetons per cell
# Energy relative to the elements, uncorrected: -1.78 eV/atom
# Space-group type: P4/mmm (123)
data_NaGeO2F
_chemical_formula_sum 'Na1 Ge1 O2 F1'
_space_group_name_H-M_alt 'P 1'
_space_group_IT_number 1
_space_group_name_Hall 'P 1'
_cell_length_a 3.673
_cell_length_b 3.673
_cell_length_c 4.099
_cell_angle_alpha 90.00
_cell_angle_beta 90.00
_cell_angle_gamma 90.00
loop_
_atom_site_label
_atom_site_fract_x
_atom_site_fract_y
_atom_site_fract_z
_atom_site_occupancy
O1 0.500 0.000 0.000 1
F1 0.000 0.000 0.500 1
Na1 0.500 0.500 0.500 1
O2 0.000 0.500 0.000 1
Ge1 0.000 0.000 0.000 1



2.
# NaGePdF6 PBE relaxed
# Total moment: 2.00 Bohr magnetons per cell
# Energy relative to the elements, uncorrected: -2.08 eV/atom
# Space-group type: P-31c (163)
data_NaGePdF6
_chemical_formula_sum 'Na2 Ge2 Pd2 F12'
_space_group_name_H-M_alt 'P 1'
_space_group_IT_number 1
_space_group_name_Hall 'P 1'
_cell_length_a 5.654
_cell_length_b 5.654
_cell_length_c 9.366
_cell_angle_alpha 90.00
_cell_angle_beta 90.00
_cell_angle_gamma 120.00
loop_
_atom_site_label
_atom_site_fract_x
_atom_site_fract_y
_atom_site_fract_z
_atom_site_occupancy
F1 0.937 0.336 0.139 1
F2 0.399 0.063 0.139 1
F3 0.399 0.336 0.361 1
F4 0.601 0.664 0.639 1
F5 0.063 0.399 0.639 1
F6 0.063 0.664 0.861 1
F7 0.601 0.937 0.861 1
F8 0.937 0.601 0.361 1
F9 0.664 0.063 0.361 1
F10 0.336 0.937 0.639 1
Ge1 0.333 0.667 0.750 1
Pd1 0.000 0.000 0.000 1
F11 0.336 0.399 0.861 1
Pd2 0.000 0.000 0.500 1
F12 0.664 0.601 0.139 1
Ge2 0.667 0.333 0.250 1
Na1 0.667 0.333 0.750 1
Na2 0.333 0.667 0.250 1



3.
# NaGe2PtF PBE relaxed
# Total moment: 0.00 Bohr magnetons per cell
# Energy relative to the elements, uncorrected: 0.95 eV/atom
# Space-group type: P4/mmm (123)
data_NaGe2PtF
_chemical_formula_sum 'Na1 Ge2 Pt1 F1'
_space_group_name_H-M_alt 'P 1'
_space_group_IT_number 1
_space_group_name_Hall 'P 1'
_cell_length_a 5.103
_cell_length_b 4.700
_cell_length_c 5.103
_cell_angle_alpha 90.00
_cell_angle_beta 90.00
_cell_angle_gamma 90.00
loop_
_atom_site_label
_atom_site_fract_x
_atom_site_fract_y
_atom_site_fract_z
_atom_site_occupancy
Na1 0.000 0.000 0.000 1
Ge1 0.000 0.000 0.500 1
Ge2 0.500 0.000 0.000 1
F1 0.500 0.500 0.500 1
Pt1 0.000 0.500 0.000 1



4.
# RbNaGeF6 PBE relaxed
# Total moment: 0.01 Bohr magnetons per cell
# Energy relative to the elements, uncorrected: -2.73 eV/atom
# Space-group type: P312 (149)
data_RbNaGeF6
_chemical_formula_sum 'Rb1 Na1 Ge1 F6'
_space_group_name_H-M_alt 'P 1'
_space_group_IT_number 1
_space_group_name_Hall 'P 1'
_cell_length_a 5.728
_cell_length_b 5.713
_cell_length_c 5.713
_cell_angle_alpha 120.00
_cell_angle_beta 90.00
_cell_angle_gamma 90.00
loop_
_atom_site_label
_atom_site_fract_x
_atom_site_fract_y
_atom_site_fract_z
_atom_site_occupancy
F1 0.684 0.987 0.257 1
F2 0.316 0.270 0.257 1
Na1 0.500 0.667 0.333 1
F3 0.316 0.743 0.013 1
F4 0.316 0.987 0.730 1
F5 0.684 0.743 0.730 1
F6 0.684 0.270 0.013 1
Ge1 0.500 0.000 0.000 1
Rb1 0.000 0.333 0.667 1



5.
# NaGeRhF2 PBE relaxed
# Total moment: 0.00 Bohr magnetons per cell
# Energy relative to the elements, uncorrected: -0.64 eV/atom
# Space-group type: P4/mmm (123)
data_NaGeRhF2
_chemical_formula_sum 'Na1 Ge1 Rh1 F2'
_space_group_name_H-M_alt 'P 1'
_space_group_IT_number 1
_space_group_name_Hall 'P 1'
_cell_length_a 3.893
_cell_length_b 5.204
_cell_length_c 3.893
_cell_angle_alpha 90.00
_cell_angle_beta 90.00
_cell_angle_gamma 90.00
loop_
_atom_site_label
_atom_site_fract_x
_atom_site_fract_y
_atom_site_fract_z
_atom_site_occupancy
Ge1 0.500 0.500 0.500 1
Rh1 0.000 0.500 0.000 1
Na1 0.000 0.000 0.000 1
F1 0.000 0.000 0.500 1
F2 0.500 0.000 0.000 1



6.
# Na2GeRuF PBE relaxed
# Total moment: 0.00 Bohr magnetons per cell
# Energy relative to the elements, uncorrected: -0.42 eV/atom
# Space-group type: P4/mmm (123)
data_Na2GeRuF
_chemical_formula_sum 'Na2 Ge1 Ru1 F1'
_space_group_name_H-M_alt 'P 1'
_space_group_IT_number 1
_space_group_name_Hall 'P 1'
_cell_length_a 3.929
_cell_length_b 5.719
_cell_length_c 3.929
_cell_angle_alpha 90.00
_cell_angle_beta 90.00
_cell_angle_gamma 90.00
loop_
_atom_site_label
_atom_site_fract_x
_atom_site_fract_y
_atom_site_fract_z
_atom_site_occupancy
Na1 0.500 0.000 0.000 1
Na2 0.000 0.000 0.500 1
Ru1 0.500 0.500 0.500 1
Ge1 0.000 0.500 0.000 1
F1 0.000 0.000 0.000 1



7.
# NaGeSF2 PBE relaxed
# Total moment: 0.00 Bohr magnetons per cell
# Energy relative to the elements, uncorrected: -0.88 eV/atom
# Space-group type: P4/mmm (123)
data_NaGeSF2
_chemical_formula_sum 'Na1 Ge1 S1 F2'
_space_group_name_H-M_alt 'P 1'
_space_group_IT_number 1
_space_group_name_Hall 'P 1'
_cell_length_a 4.064
_cell_length_b 5.117
_cell_length_c 4.064
_cell_angle_alpha 90.00
_cell_angle_beta 90.00
_cell_angle_gamma 90.00
loop_
_atom_site_label
_atom_site_fract_x
_atom_site_fract_y
_atom_site_fract_z
_atom_site_occupancy
F1 0.000 0.000 0.500 1
S1 0.000 0.500 0.000 1
F2 0.500 0.000 0.000 1
Na1 0.000 0.000 0.000 1
Ge1 0.500 0.500 0.500 1



8.
# NaGe2SbF PBE relaxed
# Total moment: 0.00 Bohr magnetons per cell
# Energy relative to the elements, uncorrected: 0.70 eV/atom
# Space-group type: P4/mmm (123)
data_NaGe2SbF
_chemical_formula_sum 'Na1 Ge2 Sb1 F1'
_space_group_name_H-M_alt 'P 1'
_space_group_IT_number 1
_space_group_name_Hall 'P 1'
_cell_length_a 5.114
_cell_length_b 5.268
_cell_length_c 5.114
_cell_angle_alpha 90.00
_cell_angle_beta 90.00
_cell_angle_gamma 90.00
loop_
_atom_site_label
_atom_site_fract_x
_atom_site_fract_y
_atom_site_fract_z
_atom_site_occupancy
Sb1 0.000 0.500 0.000 1
Na1 0.000 0.000 0.000 1
Ge1 0.000 0.000 0.500 1
F1 0.500 0.500 0.500 1
Ge2 0.500 0.000 0.000 1